Density functional theory data (PBE) for a geometry-optimized SnTe2N structure.

POSCAR file:
```
SnTe2N
1.0
1.676 0.968 9.589
-1.676 0.968 9.589
0.000 -1.935 9.589
Sn Te N
1 2 1
Direct
0.000 0.000 0.000 Sn
0.111 0.111 0.111 Te
0.889 0.889 0.889 Te
0.500 0.500 0.500 N
```

Formation energy (no corrections) = 0.835 eV/atom
V = 23.3 Å³ per atom
DOS(E_F) = 2.04 states/eV/cell
DFT total energy = -3.8175 eV per atom
Energy relative to the lowest polymorph listed for this composition = 527 meV/atom
Space-group type = R-3m

***

Density functional theory data (PBE) for a geometry-optimized Sn2TeN2 structure.

POSCAR file:
```
Sn2TeN2
1.0
-1.961 1.961 6.493
1.961 -1.961 6.493
1.961 1.961 -6.493
Sn Te N
2 1 2
Direct
0.176 0.176 0.000 Sn
0.824 0.824 0.000 Sn
0.500 0.500 0.000 Te
0.250 0.750 0.500 N
0.750 0.250 0.500 N
```

Formation energy (no corrections) = 0.560 eV/atom
V = 20.0 Å³ per atom
DOS(E_F) = 2.77 states/eV/cell
DFT total energy = -4.9996 eV per atom
Energy relative to the lowest polymorph listed for this composition = 200 meV/atom
Space-group type = I4/mmm

***

Density functional theory data (PBE) for a geometry-optimized SnTe2N structure.

POSCAR file:
```
SnTe2N
1.0
-3.119 3.119 5.888
3.119 -3.119 5.888
3.119 3.119 -5.888
Sn Te N
2 4 2
Direct
0.000 0.000 0.000 Sn
0.750 0.250 0.500 Sn
0.246 0.625 0.121 Te
0.375 0.496 0.621 Te
0.504 0.125 0.879 Te
0.875 0.754 0.379 Te
0.250 0.750 0.500 N
0.500 0.500 0.000 N
```

Formation energy (no corrections) = 0.658 eV/atom
V = 28.6 Å³ per atom
DOS(E_F) = 5.73 states/eV/cell
DFT total energy = -3.9944 eV per atom
Energy relative to the lowest polymorph listed for this composition = 350 meV/atom
Space-group type = I-42d

***

Density functional theory data (PBE) for a geometry-optimized TiSnTe2N structure.

POSCAR file:
```
TiSnTe2N
1.0
5.649 0.000 0.000
0.000 5.649 0.000
0.000 0.000 3.777
Ti Sn Te N
1 1 2 1
Direct
0.000 0.000 0.000 Ti
0.500 0.500 0.500 Sn
0.000 0.500 0.000 Te
0.500 0.000 0.000 Te
0.000 0.000 0.500 N
```

Formation energy (no corrections) = -0.132 eV/atom
V = 24.1 Å³ per atom
DOS(E_F) = 4.49 states/eV/cell
DFT total energy = -5.4337 eV per atom
Energy relative to the lowest polymorph listed for this composition = 0 meV/atom
Space-group type = P4/mmm

***

Density functional theory data (PBE) for a geometry-optimized TiSnTe2N structure.

POSCAR file:
```
TiSnTe2N
1.0
5.774 0.000 0.000
0.000 5.774 0.000
0.000 0.000 3.930
Ti Sn Te N
1 1 2 1
Direct
0.000 0.000 0.000 Ti
0.500 0.500 0.500 Sn
0.000 0.500 0.500 Te
0.500 0.000 0.500 Te
0.500 0.500 0.000 N
```

Formation energy (no corrections) = 0.811 eV/atom
V = 26.2 Å³ per atom
DOS(E_F) = 6.48 states/eV/cell
DFT total energy = -4.4906 eV per atom
Energy relative to the lowest polymorph listed for this composition = 943 meV/atom
Space-group type = P4/mmm

***

Density functional theory data (PBE) for a geometry-optimized TiSnTeN2 structure.

POSCAR file:
```
TiSnTeN2
1.0
4.063 0.000 0.000
0.000 4.063 0.000
0.000 0.000 6.004
Ti Sn Te N
1 1 1 2
Direct
0.000 0.000 0.000 Ti
0.500 0.500 0.500 Sn
0.500 0.500 0.000 Te
0.000 0.500 0.500 N
0.500 0.000 0.500 N
```

Formation energy (no corrections) = 1.213 eV/atom
V = 19.8 Å³ per atom
DOS(E_F) = 6.22 states/eV/cell
DFT total energy = -5.1255 eV per atom
Energy relative to the lowest polymorph listed for this composition = 871 meV/atom
Space-group type = P4/mmm

***

Density functional theory data (PBE) for a geometry-optimized TiSnTeN2 structure.

POSCAR file:
```
TiSnTeN2
1.0
4.078 0.000 0.000
0.000 4.078 0.000
0.000 0.000 5.638
Ti Sn Te N
1 1 1 2
Direct
0.000 0.000 0.000 Ti
0.500 0.500 0.500 Sn
0.000 0.000 0.500 Te
0.000 0.500 0.000 N
0.500 0.000 0.000 N
```

Formation energy (no corrections) = 0.341 eV/atom
V = 18.7 Å³ per atom
DOS(E_F) = 2.05 states/eV/cell
DFT total energy = -5.9969 eV per atom
Energy relative to the lowest polymorph listed for this composition = 0 meV/atom
Space-group type = P4/mmm

***

Density functional theory data (PBE) for a geometry-optimized TlSnTeN2 structure.

POSCAR file:
```
TlSnTeN2
1.0
4.334 0.000 0.000
0.000 4.334 0.000
0.000 0.000 6.073
Tl Sn Te N
1 1 1 2
Direct
0.000 0.000 0.000 Tl
0.500 0.500 0.500 Sn
0.500 0.500 0.000 Te
0.000 0.500 0.500 N
0.500 0.000 0.500 N
```

Formation energy (no corrections) = 1.139 eV/atom
V = 22.8 Å³ per atom
DOS(E_F) = 3.14 states/eV/cell
DFT total energy = -4.0930 eV per atom
Energy relative to the lowest polymorph listed for this composition = 0 meV/atom
Space-group type = P4/mmm

***

Density functional theory data (PBE) for a geometry-optimized TlSnTeN2 structure.

POSCAR file:
```
TlSnTeN2
1.0
4.517 0.000 0.000
0.000 4.517 0.000
0.000 0.000 6.187
Tl Sn Te N
1 1 1 2
Direct
0.000 0.000 0.000 Tl
0.500 0.500 0.500 Sn
0.000 0.000 0.500 Te
0.000 0.500 0.000 N
0.500 0.000 0.000 N
```

Formation energy (no corrections) = 1.585 eV/atom
V = 25.3 Å³ per atom
DOS(E_F) = 1.70 states/eV/cell
DFT total energy = -3.6477 eV per atom
Energy relative to the lowest polymorph listed for this composition = 445 meV/atom
Space-group type = P4/mmm

***

Density functional theory data (PBE) for a geometry-optimized SnTe2WN structure.

POSCAR file:
```
SnTe2WN
1.0
5.727 0.000 0.000
0.000 5.727 0.000
0.000 0.000 3.869
Sn Te W N
1 2 1 1
Direct
0.000 0.000 0.000 Sn
0.000 0.500 0.000 Te
0.500 0.000 0.000 Te
0.500 0.500 0.500 W
0.000 0.000 0.500 N
```

Formation energy (no corrections) = 1.592 eV/atom
V = 25.4 Å³ per atom
DOS(E_F) = 3.09 states/eV/cell
DFT total energy = -4.7212 eV per atom
Energy relative to the lowest polymorph listed for this composition = 1400 meV/atom
Space-group type = P4/mmm

***

Density functional theory data (PBE) for a geometry-optimized SnTe2WN structure.

POSCAR file:
```
SnTe2WN
1.0
5.546 0.000 0.000
0.000 5.546 0.000
0.000 0.000 3.843
Sn Te W N
1 2 1 1
Direct
0.000 0.000 0.000 Sn
0.000 0.500 0.500 Te
0.500 0.000 0.500 Te
0.500 0.500 0.500 W
0.500 0.500 0.000 N
```

Formation energy (no corrections) = 0.191 eV/atom
V = 23.6 Å³ per atom
DOS(E_F) = 2.95 states/eV/cell
DFT total energy = -6.1215 eV per atom
Energy relative to the lowest polymorph listed for this composition = 0 meV/atom
Space-group type = P4/mmm

***

Density functional theory data (PBE) for a geometry-optimized YSnTe2N structure.

POSCAR file:
```
YSnTe2N
1.0
5.973 0.000 0.000
0.000 5.973 0.000
0.000 0.000 4.362
Y Sn Te N
1 1 2 1
Direct
0.000 0.000 0.000 Y
0.500 0.500 0.500 Sn
0.000 0.500 0.000 Te
0.500 0.000 0.000 Te
0.000 0.000 0.500 N
```

Formation energy (no corrections) = 0.070 eV/atom
V = 31.1 Å³ per atom
DOS(E_F) = 2.73 states/eV/cell
DFT total energy = -4.9448 eV per atom
Energy relative to the lowest polymorph listed for this composition = 0 meV/atom
Space-group type = P4/mmm

***

Density functional theory data (PBE) for a geometry-optimized YSnTe2N structure.

POSCAR file:
```
YSnTe2N
1.0
5.776 0.000 0.000
0.000 5.776 0.000
0.000 0.000 4.017
Y Sn Te N
1 1 2 1
Direct
0.000 0.000 0.000 Y
0.500 0.500 0.500 Sn
0.000 0.500 0.500 Te
0.500 0.000 0.500 Te
0.500 0.500 0.000 N
```

Formation energy (no corrections) = 0.155 eV/atom
V = 26.8 Å³ per atom
DOS(E_F) = 2.61 states/eV/cell
DFT total energy = -4.8606 eV per atom
Energy relative to the lowest polymorph listed for this composition = 84 meV/atom
Space-group type = P4/mmm

***

Density functional theory data (PBE) for a geometry-optimized ZnSnTeN2 structure.

POSCAR file:
```
ZnSnTeN2
1.0
4.260 0.000 0.000
0.000 4.260 0.000
0.000 0.000 5.643
Zn Sn Te N
1 1 1 2
Direct
0.000 0.000 0.000 Zn
0.500 0.500 0.500 Sn
0.000 0.000 0.500 Te
0.000 0.500 0.000 N
0.500 0.000 0.000 N
```

Formation energy (no corrections) = 1.371 eV/atom
V = 20.5 Å³ per atom
DOS(E_F) = 2.74 states/eV/cell
DFT total energy = -3.6425 eV per atom
Energy relative to the lowest polymorph listed for this composition = 141 meV/atom
Space-group type = P4/mmm

***

Density functional theory data (PBE) for a geometry-optimized ZnSnTe2N structure.

POSCAR file:
```
ZnSnTe2N
1.0
5.910 0.000 0.000
0.000 5.910 0.000
0.000 0.000 3.911
Zn Sn Te N
1 1 2 1
Direct
0.000 0.000 0.000 Zn
0.500 0.500 0.500 Sn
0.000 0.500 0.500 Te
0.500 0.000 0.500 Te
0.500 0.500 0.000 N
```

Formation energy (no corrections) = 0.829 eV/atom
V = 27.3 Å³ per atom
DOS(E_F) = 3.72 states/eV/cell
DFT total energy = -3.1484 eV per atom
Energy relative to the lowest polymorph listed for this composition = 221 meV/atom
Space-group type = P4/mmm

***

Density functional theory data (PBE) for a geometry-optimized ZnSnTe2N structure.

POSCAR file:
```
ZnSnTe2N
1.0
5.837 0.000 0.000
0.000 5.837 0.000
0.000 0.000 3.664
Zn Sn Te N
1 1 2 1
Direct
0.000 0.000 0.000 Zn
0.500 0.500 0.500 Sn
0.000 0.500 0.000 Te
0.500 0.000 0.000 Te
0.000 0.000 0.500 N
```

Formation energy (no corrections) = 0.608 eV/atom
V = 25.0 Å³ per atom
DOS(E_F) = 3.42 states/eV/cell
DFT total energy = -3.3693 eV per atom
Energy relative to the lowest polymorph listed for this composition = 0 meV/atom
Space-group type = P4/mmm

***

Density functional theory data (PBE) for a geometry-optimized ZnSnTeN2 structure.

POSCAR file:
```
ZnSnTeN2
1.0
4.045 0.000 0.000
0.000 4.045 0.000
0.000 0.000 6.521
Zn Sn Te N
1 1 1 2
Direct
0.000 0.000 0.000 Zn
0.500 0.500 0.500 Sn
0.500 0.500 0.000 Te
0.000 0.500 0.500 N
0.500 0.000 0.500 N
```

Formation energy (no corrections) = 1.230 eV/atom
V = 21.3 Å³ per atom
DOS(E_F) = 6.00 states/eV/cell
DFT total energy = -3.7840 eV per atom
Energy relative to the lowest polymorph listed for this composition = 0 meV/atom
Space-group type = P4/mmm

***

Density functional theory data (PBE) for a geometry-optimized ZnSnTeN2 structure.

POSCAR file:
```
ZnSnTeN2
1.0
4.082 0.000 0.000
0.000 4.082 0.000
0.000 0.000 6.451
Zn Sn Te N
1 1 1 2
Direct
0.000 0.000 0.000 Zn
0.000 0.000 0.500 Sn
0.500 0.500 0.000 Te
0.000 0.500 0.500 N
0.500 0.000 0.500 N
```

Formation energy (no corrections) = 1.290 eV/atom
V = 21.5 Å³ per atom
DOS(E_F) = 2.96 states/eV/cell
DFT total energy = -3.7237 eV per atom
Energy relative to the lowest polymorph listed for this composition = 60 meV/atom
Space-group type = P4/mmm

***

Density functional theory data (PBE) for a geometry-optimized ZrSnTe2N structure.

POSCAR file:
```
ZrSnTe2N
1.0
5.728 0.000 0.000
0.000 5.728 0.000
0.000 0.000 3.921
Zr Sn Te N
1 1 2 1
Direct
0.000 0.000 0.000 Zr
0.500 0.500 0.500 Sn
0.000 0.500 0.500 Te
0.500 0.000 0.500 Te
0.500 0.500 0.000 N
```

Formation energy (no corrections) = 0.671 eV/atom
V = 25.7 Å³ per atom
DOS(E_F) = 4.00 states/eV/cell
DFT total energy = -4.7609 eV per atom
Energy relative to the lowest polymorph listed for this composition = 778 meV/atom
Space-group type = P4/mmm

***

Density functional theory data (PBE) for a geometry-optimized ZrSnTe2N structure.

POSCAR file:
```
ZrSnTe2N
1.0
5.827 0.000 0.000
0.000 5.827 0.000
0.000 0.000 4.049
Zr Sn Te N
1 1 2 1
Direct
0.000 0.000 0.000 Zr
0.500 0.500 0.500 Sn
0.000 0.500 0.000 Te
0.500 0.000 0.000 Te
0.000 0.000 0.500 N
```

Formation energy (no corrections) = -0.107 eV/atom
V = 27.5 Å³ per atom
DOS(E_F) = 4.06 states/eV/cell
DFT total energy = -5.5388 eV per atom
Energy relative to the lowest polymorph listed for this composition = 0 meV/atom
Space-group type = P4/mmm